Entry 1:
Entry from Alexandria: a relaxed structure of Na2CuN (GGA-PBEsol).

Computed properties:
The uncorrected formation energy is 0.038 eV per atom.

Geometry as CIF:
```
data_Na2CuN
_cell_length_a 9.6296
_cell_length_b 9.6296
_cell_length_c 3.5842
_cell_angle_alpha 90.00
_cell_angle_beta 90.00
_cell_angle_gamma 90.00
_symmetry_space_group_name_H-M 'I 41/a m d'
_symmetry_Int_Tables_number 141
loop_
_symmetry_equiv_pos_as_xyz
'x,y,z'
'-x,-y,-z'
'-y+1/4,x+3/4,z+1/4'
'y+1/4,-x+3/4,-z+1/4'
'-x+1/2,-y,z+1/2'
'x+1/2,y,-z+1/2'
'y+1/4,-x+1/4,z+3/4'
'-y+1/4,x+1/4,-z+3/4'
'x,-y,-z'
'-x,y,z'
'-y+1/4,-x+1/4,-z+3/4'
'y+1/4,x+1/4,z+3/4'
'-x+1/2,y,-z+1/2'
'x+1/2,-y,z+1/2'
'y+1/4,x+3/4,-z+1/4'
'-y+1/4,-x+3/4,z+1/4'
'x+1/2,y+1/2,z+1/2'
'-x+1/2,-y+1/2,-z+1/2'
'-y+3/4,x+1/4,z+3/4'
'y+3/4,-x+1/4,-z+3/4'
'-x,-y+1/2,z'
'x,y+1/2,-z'
'y+3/4,-x+3/4,z+1/4'
'-y+3/4,x+3/4,-z+1/4'
'x+1/2,-y+1/2,-z+1/2'
'-x+1/2,y+1/2,z+1/2'
'-y+3/4,-x+3/4,-z+1/4'
'y+3/4,x+3/4,z+1/4'
'-x,y+1/2,-z'
'x,-y+1/2,z'
'y+3/4,x+1/4,-z+3/4'
'-y+3/4,-x+1/4,z+3/4'
loop_
_atom_site_label
_atom_site_fract_x
_atom_site_fract_y
_atom_site_fract_z
_atom_site_occupancy
Na1 0.0000 0.0000 0.0000 1
Cu1 0.0000 0.2500 0.3750 1
N1 0.0000 0.2500 0.8750 1
```

Entry 2:
Entry from Alexandria: a relaxed structure of NiSN2O (GGA-PBEsol).

Computed properties:
The uncorrected formation energy is 1.367 eV per atom.

Geometry as CIF:
```
data_NiSN2O
_cell_length_a 3.6789
_cell_length_b 3.6789
_cell_length_c 3.6125
_cell_angle_alpha 90.00
_cell_angle_beta 90.00
_cell_angle_gamma 90.00
_symmetry_space_group_name_H-M 'P 4/m m m'
_symmetry_Int_Tables_number 123
_symmetry_space_group_name_Hall '-P 4 2'
loop_
_atom_site_label
_atom_site_fract_x
_atom_site_fract_y
_atom_site_fract_z
_atom_site_occupancy
Ni1 0.0000 0.0000 0.0000 1
S1 0.5000 0.5000 0.5000 1
N1 0.0000 0.5000 0.0000 1
O1 0.0000 0.0000 0.5000 1
```

Entry 3:
Entry from Alexandria: a relaxed structure of LiInPb (GGA-PBEsol).

Geometry as CIF:
```
data_LiInPb
_cell_length_a 5.0188
_cell_length_b 5.0188
_cell_length_c 3.3698
_cell_angle_alpha 90.00
_cell_angle_beta 90.00
_cell_angle_gamma 120.00
_symmetry_space_group_name_H-M 'P 3 m 1'
_symmetry_Int_Tables_number 156
_symmetry_space_group_name_Hall 'P 3 -2"'
loop_
_atom_site_label
_atom_site_fract_x
_atom_site_fract_y
_atom_site_fract_z
_atom_site_occupancy
Li1 0.0000 0.0000 0.0000 1
In1 0.6667 0.3333 0.2454 1
Pb1 0.3333 0.6667 0.6294 1
```

Entry 4:
Entry from Alexandria: a relaxed structure of HfSe3 (GGA-PBEsol).

Computed properties:
The uncorrected formation energy is -1.037 eV per atom.

Geometry as CIF:
```
data_HfSe3
_cell_length_a 5.3052
_cell_length_b 3.6809
_cell_length_c 9.4211
_cell_angle_alpha 90.00
_cell_angle_beta 97.06
_cell_angle_gamma 90.00
_symmetry_space_group_name_H-M 'P 1 21/m 1'
_symmetry_Int_Tables_number 11
_symmetry_space_group_name_Hall '-P 2yb'
loop_
_atom_site_label
_atom_site_fract_x
_atom_site_fract_y
_atom_site_fract_z
_atom_site_occupancy
Hf1 0.2157 0.2500 0.3420 1
Se1 0.0493 0.2500 0.8256 1
Se2 0.2620 0.7500 0.5541 1
Se3 0.4025 0.7500 0.1710 1
```

Entry 5:
Entry from Alexandria: a relaxed structure of Li5NbO5 (GGA-PBEsol).

Computed properties:
Its polymorph energy (0 for the lowest one) is 0 meV/atom. The uncorrected formation energy is -2.247 eV per atom.

Geometry as CIF:
```
data_Li5NbO5
_cell_length_a 9.6639
_cell_length_b 4.0332
_cell_length_c 5.7949
_cell_angle_alpha 90.00
_cell_angle_beta 108.80
_cell_angle_gamma 90.00
_symmetry_space_group_name_H-M 'C 1 2/m 1'
_symmetry_Int_Tables_number 12
_symmetry_space_group_name_Hall '-C 2y'
loop_
_atom_site_label
_atom_site_fract_x
_atom_site_fract_y
_atom_site_fract_z
_atom_site_occupancy
Li1 0.0000 0.0000 0.0000 1
Li2 0.1905 0.5000 0.3611 1
Li3 0.2106 0.5000 0.8432 1
Nb1 0.0000 0.0000 0.5000 1
O1 0.0000 0.5000 0.5000 1
O2 0.1476 0.0000 0.3254 1
O3 0.1589 0.0000 0.8205 1
```

Entry 6:
Entry from Alexandria: a relaxed structure of Na3YC2O6F2 (GGA-PBEsol).

Computed properties:
The uncorrected formation energy is -2.325 eV per atom.

Geometry as CIF:
```
data_Na3YC2O6F2
_cell_length_a 7.0186
_cell_length_b 14.7957
_cell_length_c 7.7905
_cell_angle_alpha 90.00
_cell_angle_beta 122.39
_cell_angle_gamma 90.00
_symmetry_space_group_name_H-M 'P 1 21/c 1'
_symmetry_Int_Tables_number 14
_symmetry_space_group_name_Hall '-P 2ybc'
loop_
_atom_site_label
_atom_site_fract_x
_atom_site_fract_y
_atom_site_fract_z
_atom_site_occupancy
Na1 0.0000 0.0000 0.0000 1
Na2 0.1285 0.1841 0.3795 1
Na3 0.2443 0.5084 0.2594 1
Na4 0.5000 0.0000 0.5000 1
Y1 0.3761 0.7151 0.6262 1
C1 0.1456 0.6310 0.8908 1
C2 0.3900 0.1349 0.1361 1
O1 0.1212 0.5488 0.8346 1
O2 0.1416 0.6554 0.0494 1
O3 0.1850 0.6961 0.7994 1
O4 0.3593 0.0544 0.0733 1
O5 0.3889 0.1579 0.2968 1
O6 0.4350 0.2012 0.0499 1
F1 0.1356 0.6193 0.4160 1
F2 0.3937 0.1118 0.6732 1
```

no.,calculated total energy (eV per atom)
1,-3.8767
2,-5.2019
3,-3.1249
4,-6.5505
5,-6.5112
6,-7.0154